DFT (PBE) results for a geometry-optimized Pr2ZnIr structure.

Cell and atoms, written as CIF:
```
data_Pr2ZnIr
_chemical_formula_sum 'Pr2 Zn1 Ir1'
_cell_length_a 3.654
_cell_length_b 3.654
_cell_length_c 7.283
_cell_angle_alpha 90.00
_cell_angle_beta 90.00
_cell_angle_gamma 90.00
_space_group_name_H-M_alt 'P 1'
_space_group_IT_number 1
_space_group_name_Hall 'P 1'
loop_
_atom_site_label
_atom_site_fract_x
_atom_site_fract_y
_atom_site_fract_z
Pr1 0.000 0.000 0.234
Pr2 0.000 0.000 0.766
Zn1 0.500 0.500 0.500
Ir1 0.500 0.500 0.000
```

Output
Crystal system: tetragonal
Energy relative to the lowest polymorph listed for this composition, eV/atom: 0.095

DFT (PBE) results for a geometry-optimized PrZn3Ir structure.

Cell and atoms, written as CIF:
```
data_PrZn3Ir
_chemical_formula_sum 'Pr2 Zn6 Ir2'
_cell_length_a 6.718
_cell_length_b 6.718
_cell_length_c 6.718
_cell_angle_alpha 125.69
_cell_angle_beta 90.51
_cell_angle_gamma 114.06
_space_group_name_H-M_alt 'P 1'
_space_group_IT_number 1
_space_group_name_Hall 'P 1'
loop_
_atom_site_label
_atom_site_fract_x
_atom_site_fract_y
_atom_site_fract_z
Pr1 0.338 0.088 0.250
Pr2 0.662 0.912 0.750
Zn1 0.184 0.434 0.750
Zn2 0.206 0.000 0.706
Zn3 0.206 0.500 0.206
Zn4 0.794 0.000 0.294
Zn5 0.794 0.500 0.794
Zn6 0.816 0.566 0.250
Ir1 0.000 0.500 0.500
Ir2 0.500 0.500 0.000
```

Output
Crystal system: orthorhombic
Energy relative to the lowest polymorph listed for this composition, eV/atom: 0.116

DFT (PBE) results for a geometry-optimized Pr3ZnIr2 structure.

Cell and atoms, written as CIF:
```
data_Pr3ZnIr2
_chemical_formula_sum 'Pr12 Zn4 Ir8'
_cell_length_a 12.053
_cell_length_b 4.152
_cell_length_c 11.997
_cell_angle_alpha 90.00
_cell_angle_beta 90.00
_cell_angle_gamma 90.00
_space_group_name_H-M_alt 'P 1'
_space_group_IT_number 1
_space_group_name_Hall 'P 1'
loop_
_atom_site_label
_atom_site_fract_x
_atom_site_fract_y
_atom_site_fract_z
Pr1 0.056 0.250 0.124
Pr2 0.127 0.750 0.571
Pr3 0.198 0.250 0.819
Pr4 0.302 0.750 0.319
Pr5 0.373 0.250 0.071
Pr6 0.444 0.750 0.624
Pr7 0.556 0.250 0.376
Pr8 0.627 0.750 0.929
Pr9 0.698 0.250 0.681
Pr10 0.802 0.750 0.181
Pr11 0.873 0.250 0.429
Pr12 0.944 0.750 0.876
Zn1 0.125 0.250 0.377
Zn2 0.375 0.750 0.877
Zn3 0.625 0.250 0.123
Zn4 0.875 0.750 0.623
Ir1 0.015 0.750 0.314
Ir2 0.184 0.750 0.988
Ir3 0.316 0.250 0.488
Ir4 0.485 0.250 0.814
Ir5 0.515 0.750 0.186
Ir6 0.684 0.750 0.512
Ir7 0.816 0.250 0.012
Ir8 0.985 0.250 0.686
```

Output
Crystal system: orthorhombic

no.,theoretical density (g/cm³),formation energy from the elements (meV per atom),E_tot (eV for the cell shown)
1,9.211,-423,-21.38
2,8.292,-251,-37.43
3,9.652,-543,-146.37